This record from the Alexandria database describes crystalline V2Tc at its relaxed geometry. The functional is PBE-GGA.

## Properties
Crystal system = cubic
Calculated total energy = -228.0 eV/cell
Offset from the most stable computed form = 0.370 eV/atom

a = 6.920 Å, b = 6.920 Å, c = 6.920 Å
α = 90.00°, β = 90.00°, γ = 90.00°
Space group Fd-3m (No. 227, origin choice 2)
Inequivalent atoms, fractional coordinates:
1 V 0.000 0.000 0.000
2 Tc 0.125 0.125 0.625